Record 1
8
Lattice="7.1882 0.0000 0.0000 0.0000 3.1753 0.0000 -0.0433 0.0000 8.5342" Properties=species:S:1:pos:R:3 comment="Te2OsSe | Alexandria via LeMat-Bulk | PBE | relaxed" raw_formation_energy_kj_per_mol_atoms=18.7 magnetic_moment_mub_per_fu=0.0 n_ef_per_ev_atom=0.493 pbc="T T T"
Te 0.0000 0.0000 0.0000
Te 1.7729 0.0000 2.7750
Te 3.5941 1.5876 0.0000
Te 5.3670 1.5876 2.7750
Os 0.2845 1.5876 4.4393
Os 3.8786 0.0000 4.4393
Se 2.4656 1.5876 5.7392
Se 6.0597 0.0000 5.7392



Record 2
8
Lattice="3.1521 0.0000 0.0000 0.0000 5.0527 0.0000 0.0000 0.0000 12.2074" Properties=species:S:1:pos:R:3 comment="Te2OsSe | Alexandria via LeMat-Bulk | PBE | relaxed" raw_formation_energy_kj_per_mol_atoms=35.3 magnetic_moment_mub_per_fu=0.0 n_ef_per_ev_atom=0.531 pbc="T T T"
Te 0.0000 0.0000 0.0000
Te 0.0000 2.5264 1.9198
Te 1.5760 0.0000 8.0235
Te 1.5760 2.5264 6.1037
Os 0.0000 0.0000 5.6584
Os 1.5760 2.5264 11.7621
Se 0.0000 2.5264 9.8987
Se 1.5760 0.0000 3.7951



Record 3
8
Lattice="5.5184 0.0000 0.0000 0.0000 5.5184 0.0000 0.0000 0.0000 5.9359" Properties=species:S:1:pos:R:3 comment="Te2OsSe | Alexandria via LeMat-Bulk | PBE | relaxed" raw_formation_energy_kj_per_mol_atoms=63.4 magnetic_moment_mub_per_fu=0.0 n_ef_per_ev_atom=0.807 pbc="T T T"
Te 0.0000 2.7592 0.0000
Te 0.0000 2.7592 2.9680
Te 2.7592 0.0000 0.0000
Te 2.7592 0.0000 2.9680
Os 0.0000 0.0000 0.0000
Os 2.7592 2.7592 2.9680
Se 0.0000 0.0000 2.9680
Se 2.7592 2.7592 0.0000



Record 4
6
Lattice="0.0000 4.0005 4.0005 4.0005 0.0000 4.0005 4.0005 4.0005 0.0000" Properties=species:S:1:pos:R:3 comment="TeOsSe4 | Alexandria via LeMat-Bulk | PBE | relaxed" raw_formation_energy_kj_per_mol_atoms=131.0 magnetic_moment_mub_per_fu=2.6 n_ef_per_ev_atom=0.848 pbc="T T T"
Te 0.0000 0.0000 0.0000
Os 6.0008 6.0008 6.0008
Se 3.0185 3.0185 3.0185
Se 4.9826 4.9826 3.0185
Se 4.9826 3.0185 4.9826
Se 3.0185 4.9826 4.9826



Record 5
8
Lattice="7.4743 0.0000 0.0000 0.0000 3.1893 0.0000 -0.1818 0.0000 8.0227" Properties=species:S:1:pos:R:3 comment="Te2OsSe | Alexandria via LeMat-Bulk | PBE | relaxed" raw_formation_energy_kj_per_mol_atoms=26.9 magnetic_moment_mub_per_fu=0.0 n_ef_per_ev_atom=0.646 pbc="T T T"
Te 1.5130 0.0000 1.5489
Te 2.0424 1.5947 6.4739
Te 5.2501 1.5947 1.5489
Te 5.7795 0.0000 6.4739
Os 0.0000 1.5947 0.0000
Os 3.7371 0.0000 0.0000
Se -0.0909 0.0000 4.0114
Se 3.6462 1.5947 4.0114



Record 6
8
Lattice="3.2553 0.0000 0.0000 0.0000 4.6191 0.0000 0.0000 0.0000 12.6100" Properties=species:S:1:pos:R:3 comment="Te2OsSe | Alexandria via LeMat-Bulk | PBE | relaxed" raw_formation_energy_kj_per_mol_atoms=42.6 magnetic_moment_mub_per_fu=0.0 n_ef_per_ev_atom=0.796 pbc="T T T"
Te 0.0000 0.0000 2.1641
Te 0.0000 0.0000 10.4459
Te 1.6276 2.3096 4.1409
Te 1.6276 2.3096 8.4691
Os 0.0000 2.3096 6.3050
Os 1.6276 0.0000 0.0000
Se 0.0000 2.3096 0.0000
Se 1.6276 0.0000 6.3050



Record 7
8
Lattice="3.2003 0.0000 0.0000 0.0000 5.2752 0.0000 0.0000 0.0000 10.8479" Properties=species:S:1:pos:R:3 comment="Te2OsSe | Alexandria via LeMat-Bulk | PBE | relaxed" raw_formation_energy_kj_per_mol_atoms=64.3 magnetic_moment_mub_per_fu=0.0 n_ef_per_ev_atom=0.803 pbc="T T T"
Te 0.0000 0.0000 2.2023
Te 0.0000 0.0000 8.6457
Te 1.6002 2.6376 2.2023
Te 1.6002 2.6376 8.6457
Os 0.0000 2.6376 0.0000
Os 1.6002 0.0000 0.0000
Se 0.0000 2.6376 5.4240
Se 1.6002 0.0000 5.4240



Record 8
3
Lattice="3.7681 0.0000 0.0000 -1.8841 3.2633 0.0000 0.0000 0.0000 5.7684" Properties=species:S:1:pos:R:3 comment="TeOsSe | Alexandria via LeMat-Bulk | PBE | relaxed" de_polymorph_ev_per_atom=0.209 raw_formation_energy_kj_per_mol_atoms=13.4 magnetic_moment_mub_per_fu=0.0 n_ef_per_ev_atom=1.116 pbc="T T T"
Te 0.0000 0.0000 0.0000
Os 0.0000 2.1755 1.6258
Se 1.8841 1.0878 2.8041